--- one ---
Here is a geometry-optimized CoReTe2 structure from the Alexandria database. Energies are from PBE.

Structure (POSCAR):
```
CoReTe2
1.0
3.889 -0.002 -0.001
1.946 3.367 -0.001
1.947 1.123 7.176
Te Re Co
2 1 1
Cartesian
1.946 1.122 2.735
1.947 1.123 6.454
5.836 3.366 4.724
3.891 2.244 4.024
```

--- two ---
Here is a geometry-optimized CoReTe2 structure from the Alexandria database. Energies are from PBE.

Structure (POSCAR):
```
CoReTe2
1.0
3.238 0.000 0.000
0.000 3.238 0.000
0.000 0.000 8.072
Re Te Co
1 2 1
Cartesian
1.619 1.619 5.759
0.000 0.000 7.284
1.619 1.619 2.956
0.000 0.000 4.182
```

The winner here is one, beating the second structure by 205 meV/atom.

--- one ---
Here is a geometry-optimized TaTl2Se structure from the Alexandria database. Energies are from PBE.

Structure (POSCAR):
```
TaTl2Se
1.0
-2.211 -4.621 -2.301
-0.102 -0.586 5.584
-2.736 1.268 0.083
Tl Se Ta
2 1 1
Cartesian
0.000 0.000 0.000
-1.157 -2.603 1.641
-2.473 -1.676 -1.109
-1.419 0.341 2.833
```

--- two ---
Here is a geometry-optimized TaTl2Se structure from the Alexandria database. Energies are from PBE.

Structure (POSCAR):
```
TaTl2Se
1.0
3.006 0.000 0.000
0.000 3.006 0.000
0.000 0.000 10.453
Ta Tl Se
1 2 1
Cartesian
1.503 1.503 7.840
0.000 0.000 5.463
0.000 0.000 10.216
1.503 1.503 2.613
```

The winner here is one, beating the second structure by 136 meV/atom.

--- one ---
Here is a geometry-optimized RbAl2Cu2 structure from the Alexandria database. Energies are from PBE.

Structure (POSCAR):
```
RbAl2Cu2
1.0
4.263 0.000 0.000
0.000 4.263 0.000
2.132 2.132 6.697
Cu Al Rb
2 2 1
Cartesian
2.132 2.132 2.112
4.263 4.263 4.585
4.263 2.132 3.349
2.132 4.263 3.349
0.000 0.000 0.000
```

--- two ---
Here is a geometry-optimized RbAl2Cu2 structure from the Alexandria database. Energies are from PBE.

Structure (POSCAR):
```
RbAl2Cu2
1.0
-2.477 4.644 -6.446
4.875 -4.442 -5.075
-2.062 -1.738 -0.460
Al Cu Rb
4 4 2
Cartesian
1.709 -3.064 -4.217
-1.344 0.310 -3.280
1.681 -1.845 -8.700
-1.372 1.529 -7.763
-0.880 2.352 -4.946
1.338 -0.862 -2.742
3.278 -2.150 -6.574
1.060 1.064 -8.778
0.000 0.000 0.000
1.199 0.101 -5.760
```

The winner here is one, beating the second structure by 54 meV/atom.

--- one ---
Here is a geometry-optimized BC3 structure from the Alexandria database. Energies are from PBE.

Structure (POSCAR):
```
BC3
1.0
-1.908 -1.686 0.339
2.385 -3.143 -2.206
2.594 -1.807 5.622
C B
9 3
Cartesian
1.679 -1.650 1.246
2.593 -1.813 5.586
1.174 -2.568 3.568
2.285 -2.068 2.581
1.809 -3.015 4.929
3.985 -3.766 3.713
0.624 -0.447 1.291
2.838 -4.232 4.665
2.570 -4.552 1.561
2.020 -4.211 0.160
3.312 -3.281 2.334
0.769 -2.724 0.514
```

--- two ---
Here is a geometry-optimized BC3 structure from the Alexandria database. Energies are from PBE.

Structure (POSCAR):
```
BC3
1.0
-0.429 -4.477 0.015
0.720 -3.870 2.175
-6.185 3.904 2.192
C B
9 3
Cartesian
-4.259 1.336 1.889
-0.837 -2.199 1.062
-5.260 -0.697 2.993
-4.034 -0.149 2.187
-5.822 -4.429 4.339
-2.898 -6.319 3.315
-0.068 -6.854 1.961
-3.135 -4.829 3.023
-1.955 -4.264 2.237
-1.216 -0.633 0.824
-2.163 -2.725 1.915
-4.974 -2.265 3.281
```

The winner here is two, beating the second structure by 54 meV/atom.

--- one ---
Here is a geometry-optimized HgAs2Br structure from the Alexandria database. Energies are from PBE.

Structure (POSCAR):
```
HgAs2Br
1.0
7.121 -0.019 -0.012
5.919 3.960 -0.012
5.919 1.789 3.533
Hg Br As
1 1 2
Cartesian
14.220 4.297 2.632
4.740 1.432 0.877
9.090 2.747 1.683
0.390 0.118 0.072
```

--- two ---
Here is a geometry-optimized HgAs2Br structure from the Alexandria database. Energies are from PBE.

Structure (POSCAR):
```
HgAs2Br
1.0
-2.473 1.700 1.668
1.671 -2.089 2.151
5.455 6.192 1.776
Hg As Br
1 2 1
Cartesian
3.690 4.449 3.242
2.839 3.223 0.924
5.343 6.065 1.740
0.963 1.353 2.354
```

The winner here is one, beating the second structure by 139 meV/atom.

--- one ---
Here is a geometry-optimized LaTc2Ni structure from the Alexandria database. Energies are from PBE.

Structure (POSCAR):
```
LaTc2Ni
1.0
4.169 0.000 0.000
0.000 3.166 0.034
0.000 1.163 5.607
Ni Tc La
1 2 1
Cartesian
2.084 3.760 4.317
0.000 2.757 0.347
2.084 0.947 0.704
0.000 2.196 3.128
```

--- two ---
Here is a geometry-optimized LaTc2Ni structure from the Alexandria database. Energies are from PBE.

Structure (POSCAR):
```
LaTc2Ni
1.0
-1.836 2.100 -0.065
-1.056 -0.997 -2.382
-5.650 -4.800 4.514
La Tc Ni
1 2 1
Cartesian
-2.859 -0.649 -0.095
-3.137 -2.665 2.506
-5.338 -4.535 4.265
-5.683 -3.049 2.162
```

The winner here is one, beating the second structure by 213 meV/atom.

--- one ---
Here is a geometry-optimized MnIr2W structure from the Alexandria database. Energies are from PBE.

Structure (POSCAR):
```
MnIr2W
1.0
4.362 0.000 0.000
2.181 3.778 0.000
2.181 1.259 3.562
Ir W Mn
2 1 1
Cartesian
0.000 0.000 0.000
2.181 1.259 0.890
6.543 3.778 2.671
4.362 2.519 1.781
```

--- two ---
Here is a geometry-optimized MnIr2W structure from the Alexandria database. Energies are from PBE.

Structure (POSCAR):
```
MnIr2W
1.0
-3.848 -3.687 1.643
2.489 -0.381 4.975
-3.797 2.054 5.182
Mn Ir W
2 4 2
Cartesian
-0.993 -0.181 6.733
-0.679 -2.034 3.309
-3.327 0.010 6.429
0.079 -0.231 4.631
-4.067 -2.014 9.617
-2.996 -1.793 2.924
-4.162 -1.833 5.067
0.000 0.000 0.000
```

The winner here is one, beating the second structure by 756 meV/atom.

--- one ---
Here is a geometry-optimized SiPb2Se structure from the Alexandria database. Energies are from PBE.

Structure (POSCAR):
```
SiPb2Se
1.0
10.095 0.026 0.015
9.470 3.496 0.015
9.470 1.705 3.052
Si Pb Se
1 2 1
Cartesian
22.161 3.989 2.353
0.410 0.074 0.044
7.106 1.279 0.754
13.877 2.498 1.473
```

--- two ---
Here is a geometry-optimized SiPb2Se structure from the Alexandria database. Energies are from PBE.

Structure (POSCAR):
```
SiPb2Se
1.0
-3.233 -3.796 -1.572
-1.582 -3.655 3.386
-4.960 -0.061 1.652
Se Pb Si
1 2 1
Cartesian
-4.887 -3.756 1.733
-2.444 -1.878 0.867
-7.331 -5.634 2.600
0.000 0.000 0.000
```

The winner here is one, beating the second structure by 189 meV/atom.